--- one ---
# KPClO2

Crystalline KPClO2 at its relaxed geometry (PBE, the Alexandria database).

Results
N(E_F) ... 3.23 states/eV per cell
Magnetic moment ... 1.34 μB per formula unit

abc: 4.4354 4.4354 4.4216
angles: 90.00 90.00 90.00
Space group P4/mmm (No. 123)
Asymmetric unit:
K (0.0000, 0.0000, 0.0000) x1
P (0.5000, 0.5000, 0.0000) x1
Cl (0.5000, 0.5000, 0.5000) x1
O (0.0000, 0.5000, 0.5000) x2



--- two ---
# KPClO2

Crystalline KPClO2 at its relaxed geometry (PBE, the Alexandria database).

Results
N(E_F) ... 4.43 states/eV per cell
Magnetic moment ... 4.94 μB per formula unit

abc: 4.5958 4.5958 7.7651
angles: 90.00 90.00 90.00
Space group P4/mmm (No. 123)
Asymmetric unit:
K (0.0000, 0.0000, 0.0000) x1
P (0.0000, 0.0000, 0.5000) x1
Cl (0.5000, 0.5000, 0.5000) x1
O (0.0000, 0.5000, 0.0000) x2



Which structure loses on stability? two does.



--- one ---
# K2ReCl5O

Crystalline K2ReCl5O at its relaxed geometry (PBE, the Alexandria database).

Results
Magnetic moment ... 0.00 μB per formula unit

abc: 13.5664 10.1822 6.9737
angles: 90.00 90.00 90.00
Space group Pnma (No. 62)
Asymmetric unit:
K (0.1408, 0.0017, 0.1777) x8
Re (0.0974, 0.7500, 0.6761) x4
Cl (0.0042, 0.7500, 0.9687) x4
Cl (0.1108, 0.5157, 0.6968) x8
Cl (0.2207, 0.7500, 0.4302) x4
Cl (0.2450, 0.7500, 0.8988) x4
O (0.0007, 0.2500, 0.4744) x4



--- two ---
# K2ReCl5O

Crystalline K2ReCl5O at its relaxed geometry (PBE, the Alexandria database).

Results
Magnetic moment ... 0.00 μB per formula unit

abc: 7.2960 7.2960 9.1226
angles: 90.00 90.00 90.00
Space group I4mm (No. 107)
Asymmetric unit:
K (0.0000, 0.5000, 0.0000) x4
Re (0.0000, 0.0000, 0.2296) x2
Cl (0.0000, 0.0000, 0.4973) x2
Cl (0.2324, 0.2324, 0.2513) x8
O (0.0000, 0.0000, 0.0424) x2



--- three ---
# K2ReCl5O

Crystalline K2ReCl5O at its relaxed geometry (PBE, the Alexandria database).

Results
N(E_F) ... 27.32 states/eV per cell
Magnetic moment ... 2.01 μB per formula unit

abc: 7.2088 7.2088 18.0055
angles: 90.00 90.00 90.00
Space group I4/mmm (No. 139)
Asymmetric unit:
K (0.0000, 0.5000, 0.0000) x4
K (0.0000, 0.5000, 0.2500) x4
Re (0.0000, 0.0000, 0.1035) x4
Cl (0.0000, 0.0000, 0.2375) x4
Cl (0.2335, 0.2335, 0.1116) x16
O (0.0000, 0.0000, 0.0000) x2
O (0.0000, 0.0000, 0.5000) x2



Which structure loses on stability? three does.



--- one ---
# K2RuCl5O

Crystalline K2RuCl5O at its relaxed geometry (PBE, the Alexandria database).

Results
N(E_F) ... 21.06 states/eV per cell
Magnetic moment ... 0.96 μB per formula unit

abc: 13.5039 9.9331 6.9968
angles: 90.00 90.00 90.00
Space group Pnma (No. 62)
Asymmetric unit:
K (0.1425, 0.0009, 0.1669) x8
Ru (0.0966, 0.7500, 0.6715) x4
Cl (0.0003, 0.2500, 0.0425) x4
Cl (0.1067, 0.5116, 0.6863) x8
Cl (0.2160, 0.7500, 0.4215) x4
Cl (0.2421, 0.7500, 0.8904) x4
O (0.0042, 0.2500, 0.4787) x4



--- two ---
# K2RuCl5O

Crystalline K2RuCl5O at its relaxed geometry (PBE, the Alexandria database).

Results
N(E_F) ... 27.89 states/eV per cell
Magnetic moment ... 1.00 μB per formula unit

abc: 7.2412 7.2412 17.5212
angles: 90.00 90.00 90.00
Space group I4/mmm (No. 139)
Asymmetric unit:
K (0.0000, 0.5000, 0.0000) x4
K (0.0000, 0.5000, 0.2500) x4
Ru (0.0000, 0.0000, 0.1037) x4
Cl (0.0000, 0.0000, 0.2379) x4
Cl (0.2326, 0.2326, 0.1128) x16
O (0.0000, 0.0000, 0.0000) x2
O (0.0000, 0.0000, 0.5000) x2



Which structure loses on stability? two does.



--- one ---
# K2TlClO

Crystalline K2TlClO at its relaxed geometry (PBE, the Alexandria database).

Results
N(E_F) ... 9.29 states/eV per cell
Magnetic moment ... 0.18 μB per formula unit

abc: 6.7804 6.7804 5.5746
angles: 90.00 90.00 90.00
Space group P4/mmm (No. 123)
Asymmetric unit:
K (0.0000, 0.5000, 0.0000) x2
Tl (0.0000, 0.0000, 0.0000) x1
Cl (0.0000, 0.0000, 0.5000) x1
O (0.5000, 0.5000, 0.5000) x1



--- two ---
# K2TlClO

Crystalline K2TlClO at its relaxed geometry (PBE, the Alexandria database).

Results
N(E_F) ... 0.66 states/eV per cell
Magnetic moment ... 0.00 μB per formula unit

abc: 5.3524 5.3524 5.0925
angles: 90.00 90.00 90.00
Space group P4/mmm (No. 123)
Asymmetric unit:
K (0.0000, 0.5000, 0.0000) x2
Tl (0.0000, 0.0000, 0.5000) x1
Cl (0.5000, 0.5000, 0.5000) x1
O (0.0000, 0.0000, 0.0000) x1



Which structure loses on stability? one does.